Version i
The following is a DFT calculation (PBE) of crystalline Fe2SbS at its relaxed geometry.

The space group is Fm-3m (No. 225) and the conventional cell measures 6.2077, 6.2077 and 6.2077 Å, with angles of 90.00, 90.00 and 90.00 degrees. The distinct sites, in fractional coordinates, are Fe at (0.2500, 0.2500, 0.2500), Sb at (0.0000, 0.0000, 0.0000) and S at (0.0000, 0.0000, 0.5000).

The total moment is 15.7 μB/cell.



Version ii
The following is a DFT calculation (PBE) of crystalline Fe2SbS at its relaxed geometry.

The space group is I-42d (No. 122) and the conventional cell measures 5.2843, 5.2843 and 10.5283 Å, with angles of 90.00, 90.00 and 90.00 degrees. The distinct sites, in fractional coordinates, are Fe at (0.1859, 0.2500, 0.1250), Sb at (0.0000, 0.0000, 0.5000) and S at (0.0000, 0.0000, 0.0000).

The total moment is 0.2 μB/cell.



Which structure is most stable? version ii, by 18.2 kJ/mol of atoms over the runner-up.



Version i
The following is a DFT calculation (PBE) of crystalline Fe3SbS at its relaxed geometry.

The space group is Pm-3m (No. 221) and the conventional cell measures 4.2427, 4.2427 and 4.2427 Å, with angles of 90.00, 90.00 and 90.00 degrees. The distinct sites, in fractional coordinates, are Fe at (0.0000, 0.0000, 0.5000), Sb at (0.5000, 0.5000, 0.5000) and S at (0.0000, 0.0000, 0.0000).

The total moment is 5.7 μB/cell.



Version ii
The following is a DFT calculation (PBE) of crystalline Fe3SbS at its relaxed geometry.

The space group is Pm-3m (No. 221) and the conventional cell measures 4.9052, 4.9052 and 4.9052 Å, with angles of 90.00, 90.00 and 90.00 degrees. The distinct sites, in fractional coordinates, are Fe at (0.0000, 0.0000, 0.5000), Sb at (0.0000, 0.0000, 0.0000) and S at (0.5000, 0.5000, 0.5000).

The total moment is 10.9 μB/cell.



Which structure is most stable? version i, by 108.6 kJ/mol of atoms over the runner-up.



Version i
The following is a DFT calculation (PBE) of crystalline FeSb2TeS at its relaxed geometry.

The space group is P4/mmm (No. 123) and the conventional cell measures 5.1451, 5.1451 and 5.0999 Å, with angles of 90.00, 90.00 and 90.00 degrees. The distinct sites, in fractional coordinates, are Fe at (0.0000, 0.0000, 0.0000), Sb at (0.0000, 0.5000, 0.5000), Te at (0.5000, 0.5000, 0.0000) and S at (0.5000, 0.5000, 0.5000).

The total moment is 0.1 μB/cell.



Version ii
The following is a DFT calculation (PBE) of crystalline FeSb2TeS at its relaxed geometry.

The space group is P4/mmm (No. 123) and the conventional cell measures 4.9788, 4.9788 and 4.9080 Å, with angles of 90.00, 90.00 and 90.00 degrees. The distinct sites, in fractional coordinates, are Fe at (0.0000, 0.0000, 0.0000), Sb at (0.0000, 0.5000, 0.0000), Te at (0.0000, 0.0000, 0.5000) and S at (0.5000, 0.5000, 0.5000).

The total moment is 2.0 μB/cell.



Which structure is most stable? version ii, by 71.9 kJ/mol of atoms over the runner-up.



Version i
The following is a DFT calculation (PBE) of crystalline ScFe3S at its relaxed geometry.

The space group is Pm-3m (No. 221) and the conventional cell measures 4.1861, 4.1861 and 4.1861 Å, with angles of 90.00, 90.00 and 90.00 degrees. The distinct sites, in fractional coordinates, are Sc at (0.0000, 0.0000, 0.0000), Fe at (0.0000, 0.5000, 0.5000) and S at (0.5000, 0.5000, 0.5000).

The total moment is 5.1 μB/cell.



Version ii
The following is a DFT calculation (PBE) of crystalline ScFe3S at its relaxed geometry.

The space group is Pm-3m (No. 221) and the conventional cell measures 4.5127, 4.5127 and 4.5127 Å, with angles of 90.00, 90.00 and 90.00 degrees. The distinct sites, in fractional coordinates, are Sc at (0.0000, 0.0000, 0.0000), Fe at (0.0000, 0.0000, 0.5000) and S at (0.5000, 0.5000, 0.5000).

The total moment is 7.0 μB/cell.



Which structure is most stable? version i, by 160.5 kJ/mol of atoms over the runner-up.



Version i
The following is a DFT calculation (PBE) of crystalline Sc3FeS at its relaxed geometry.

The space group is Pm-3m (No. 221) and the conventional cell measures 4.7599, 4.7599 and 4.7599 Å, with angles of 90.00, 90.00 and 90.00 degrees. The distinct sites, in fractional coordinates, are Sc at (0.0000, 0.0000, 0.5000), Fe at (0.0000, 0.0000, 0.0000) and S at (0.5000, 0.5000, 0.5000).

The total moment is 0.0 μB/cell.



Version ii
The following is a DFT calculation (PBE) of crystalline Sc3FeS at its relaxed geometry.

The space group is Pm-3m (No. 221) and the conventional cell measures 4.7805, 4.7805 and 4.7805 Å, with angles of 90.00, 90.00 and 90.00 degrees. The distinct sites, in fractional coordinates, are Sc at (0.0000, 0.0000, 0.5000), Fe at (0.5000, 0.5000, 0.5000) and S at (0.0000, 0.0000, 0.0000).

The total moment is 2.5 μB/cell.



Which structure is most stable? version ii, by 21.2 kJ/mol of atoms over the runner-up.



Version i
The following is a DFT calculation (PBE) of crystalline FeSeS2 at its relaxed geometry.

The space group is Fm-3m (No. 225) and the conventional cell measures 6.1577, 6.1577 and 6.1577 Å, with angles of 90.00, 90.00 and 90.00 degrees. The distinct sites, in fractional coordinates, are Fe at (0.0000, 0.0000, 0.0000), Se at (0.0000, 0.0000, 0.5000) and S at (0.2500, 0.2500, 0.2500).

The total moment is 0.0 μB/cell.



Version ii
The following is a DFT calculation (PBE) of crystalline FeSeS2 at its relaxed geometry.

The space group is R-3m (No. 166, hexagonal axes) and the conventional cell measures 3.3489, 3.3489 and 21.7678 Å, with angles of 90.00, 90.00 and 120.00 degrees. The distinct sites, in fractional coordinates, are Fe at (0.0000, 0.0000, 0.0000), Se at (0.0000, 0.0000, 0.5000) and S at (0.0000, 0.0000, 0.3877).

The total moment is 3.4 μB/cell.



Version iii
The following is a DFT calculation (PBE) of crystalline FeSeS2 at its relaxed geometry.

The space group is I-42d (No. 122) and the conventional cell measures 5.9492, 5.9492 and 8.7206 Å, with angles of 90.00, 90.00 and 90.00 degrees. The distinct sites, in fractional coordinates, are Fe at (0.0000, 0.0000, 0.0000), Se at (0.0000, 0.0000, 0.5000) and S at (0.1688, 0.2500, 0.1250).

The total moment is 0.0 μB/cell.



Which structure is most stable? version ii, by 21.9 kJ/mol of atoms over the runner-up.



Version i
The following is a DFT calculation (PBE) of crystalline Fe2SiS4 at its relaxed geometry.

The space group is Pnma (No. 62) and the conventional cell measures 12.0342, 6.9396 and 5.7709 Å, with angles of 90.00, 90.00 and 90.00 degrees. The distinct sites, in fractional coordinates, are Fe at (0.0000, 0.0000, 0.0000), Fe at (0.2432, 0.2500, 0.4978), Si at (0.0870, 0.7500, 0.4066), S at (0.0763, 0.2500, 0.7452), S at (0.0896, 0.7500, 0.7776) and S at (0.1679, 0.5057, 0.2515).

The total moment is 25.3 μB/cell.



Version ii
The following is a DFT calculation (PBE) of crystalline Fe2SiS4 at its relaxed geometry.

The space group is P-3m1 (No. 164) and the conventional cell measures 6.7543, 6.7543 and 5.4203 Å, with angles of 90.00, 90.00 and 120.00 degrees. The distinct sites, in fractional coordinates, are Fe at (0.0000, 0.0000, 0.0000), Fe at (0.0000, 0.5000, 0.5000), Si at (0.3333, 0.6667, 0.0820), S at (0.1678, 0.3355, 0.2520) and S at (0.3333, 0.6667, 0.6856).

The total moment is 0.0 μB/cell.



Which structure is most stable? version ii, by 2.6 kJ/mol of atoms over the runner-up.



Version i
The following is a DFT calculation (PBE) of crystalline Fe2SnS at its relaxed geometry.

The space group is Fm-3m (No. 225) and the conventional cell measures 6.0980, 6.0980 and 6.0980 Å, with angles of 90.00, 90.00 and 90.00 degrees. The distinct sites, in fractional coordinates, are Fe at (0.2500, 0.2500, 0.2500), Sn at (0.0000, 0.0000, 0.0000) and S at (0.0000, 0.0000, 0.5000).

The total moment is 15.9 μB/cell.



Version ii
The following is a DFT calculation (PBE) of crystalline Fe2SnS at its relaxed geometry.

The space group is I-42d (No. 122) and the conventional cell measures 5.7687, 5.7687 and 9.3892 Å, with angles of 90.00, 90.00 and 90.00 degrees. The distinct sites, in fractional coordinates, are Fe at (0.1805, 0.2500, 0.1250), Sn at (0.0000, 0.0000, 0.5000) and S at (0.0000, 0.0000, 0.0000).

The total moment is 14.6 μB/cell.



Which structure is most stable? version ii, by 8.9 kJ/mol of atoms over the runner-up.